No. 1
# Ir2RhCl

A relaxed Ir2RhCl crystal (PBE-GGA, the Alexandria database).

Cell and atoms, written as CIF:
```
data_Ir2RhCl
_space_group_name_H-M_alt 'P 1 2/m 1'
_space_group_IT_number 10
_space_group_name_Hall '-P 2y'
_cell_length_a 2.8332
_cell_length_b 4.7484
_cell_length_c 4.5583
_cell_angle_alpha 90.00
_cell_angle_beta 91.15
_cell_angle_gamma 90.00
loop_
_atom_site_label
_atom_site_fract_x
_atom_site_fract_y
_atom_site_fract_z
Ir1 0.2402 0.0000 0.2528
Rh1 0.0000 0.5000 0.5000
Cl1 0.5000 0.5000 0.0000
```

## Properties
excess energy over the best structure of this formula in the dataset: 149 kJ/mol of formula units
total energy: -5.973 eV per atom
magnetic moment: 0.00 μB/f.u.

=====

No. 2
# PaNbGaMo

A relaxed PaNbGaMo crystal (PBE-GGA, the Alexandria database).

Cell and atoms, written as CIF:
```
data_PaNbGaMo
_space_group_name_H-M_alt 'F -4 3 m'
_space_group_IT_number 216
_space_group_name_Hall 'F -4 2 3'
_cell_length_a 6.6345
_cell_length_b 6.6345
_cell_length_c 6.6345
_cell_angle_alpha 90.00
_cell_angle_beta 90.00
_cell_angle_gamma 90.00
loop_
_atom_site_label
_atom_site_fract_x
_atom_site_fract_y
_atom_site_fract_z
Pa1 0.0000 0.0000 0.0000
Nb1 0.2500 0.2500 0.7500
Ga1 0.0000 0.0000 0.5000
Mo1 0.2500 0.2500 0.2500
```

## Properties
energy of formation from the pure elements: -0.041 eV/atom
total energy: -8.397 eV per atom
magnetic moment: 0.00 μB/f.u.

=====

- What is the total energy in the second record?
  -8.397 eV per atom